# CrSbOs2, optimized geometry, DFT PBE
data_CrSbOs2
_chemical_formula_sum 'Cr1 Sb1 Os2'
_space_group_name_H-M_alt 'P 1'
_space_group_IT_number 1
_cell_length_a 4.836
_cell_length_b 4.836
_cell_length_c 4.690
_cell_angle_alpha 100.22
_cell_angle_beta 100.22
_cell_angle_gamma 35.59
loop_
_space_group_symop_operation_xyz
'x,y,z'
loop_
_atom_site_label
_atom_site_type_symbol
_atom_site_fract_x
_atom_site_fract_y
_atom_site_fract_z
Cr1 Cr 0.000 0.000 0.000
Sb1 Sb 0.243 0.243 0.743
Os1 Os 0.486 0.486 0.447
Os2 Os 0.745 0.745 0.241
# ΔE_f (raw)   0.460 eV per atom
# Space-group type   Cm, No. 8
# Density of states at the Fermi level   0.82 states/eV per atom
# M_tot   2.19 μB per formula unit
# Raw total energy   -34.36 eV for the cell shown
# Crystal system   monoclinic

***

# CrSbOs2, optimized geometry, DFT PBE
data_CrSbOs2
_chemical_formula_sum 'Cr1 Sb1 Os2'
_space_group_name_H-M_alt 'P 1'
_space_group_IT_number 1
_cell_length_a 4.904
_cell_length_b 4.904
_cell_length_c 4.904
_cell_angle_alpha 133.18
_cell_angle_beta 133.18
_cell_angle_gamma 68.38
loop_
_space_group_symop_operation_xyz
'x,y,z'
loop_
_atom_site_label
_atom_site_type_symbol
_atom_site_fract_x
_atom_site_fract_y
_atom_site_fract_z
Cr1 Cr 0.000 0.000 0.000
Sb1 Sb 0.250 0.750 0.500
Os1 Os 0.500 0.500 0.000
Os2 Os 0.750 0.250 0.500
# ΔE_f (raw)   0.428 eV per atom
# Space-group type   I-4m2, No. 119
# Density of states at the Fermi level   0.70 states/eV per atom
# M_tot   2.17 μB per formula unit
# Raw total energy   -34.50 eV for the cell shown
# Crystal system   tetragonal

***

# CrSbOs2, optimized geometry, DFT PBE
data_CrSbOs2
_chemical_formula_sum 'Cr2 Sb2 Os4'
_space_group_name_H-M_alt 'P 1'
_space_group_IT_number 1
_cell_length_a 6.937
_cell_length_b 6.937
_cell_length_c 6.937
_cell_angle_alpha 132.74
_cell_angle_beta 132.74
_cell_angle_gamma 69.07
loop_
_space_group_symop_operation_xyz
'x,y,z'
loop_
_atom_site_label
_atom_site_type_symbol
_atom_site_fract_x
_atom_site_fract_y
_atom_site_fract_z
Cr1 Cr 0.000 0.000 0.000
Cr2 Cr 0.750 0.250 0.500
Sb1 Sb 0.250 0.750 0.500
Sb2 Sb 0.500 0.500 0.000
Os1 Os 0.078 0.625 0.953
Os2 Os 0.375 0.328 0.453
Os3 Os 0.672 0.125 0.047
Os4 Os 0.875 0.922 0.547
# ΔE_f (raw)   1.082 eV per atom
# Space-group type   I-42d, No. 122
# Density of states at the Fermi level   0.58 states/eV per atom
# M_tot   0.00 μB per formula unit
# Raw total energy   -63.75 eV for the cell shown
# Crystal system   tetragonal

***

# CrSbOs2, optimized geometry, DFT PBE
data_CrSbOs2
_chemical_formula_sum 'Cr1 Sb1 Os2'
_space_group_name_H-M_alt 'P 1'
_space_group_IT_number 1
_cell_length_a 4.421
_cell_length_b 4.421
_cell_length_c 4.421
_cell_angle_alpha 60.00
_cell_angle_beta 60.00
_cell_angle_gamma 60.00
loop_
_space_group_symop_operation_xyz
'x,y,z'
loop_
_atom_site_label
_atom_site_type_symbol
_atom_site_fract_x
_atom_site_fract_y
_atom_site_fract_z
Cr1 Cr 0.000 0.000 0.000
Sb1 Sb 0.250 0.250 0.250
Os1 Os 0.500 0.500 0.500
Os2 Os 0.750 0.750 0.750
# ΔE_f (raw)   0.647 eV per atom
# Space-group type   F-43m, No. 216
# Density of states at the Fermi level   0.83 states/eV per atom
# M_tot   0.00 μB per formula unit
# Raw total energy   -33.62 eV for the cell shown
# Crystal system   cubic

***

# CrSbOs2, optimized geometry, DFT PBE
data_CrSbOs2
_chemical_formula_sum 'Cr1 Sb1 Os2'
_space_group_name_H-M_alt 'P 1'
_space_group_IT_number 1
_cell_length_a 2.837
_cell_length_b 2.837
_cell_length_c 9.217
_cell_angle_alpha 90.00
_cell_angle_beta 90.00
_cell_angle_gamma 117.23
loop_
_space_group_symop_operation_xyz
'x,y,z'
loop_
_atom_site_label
_atom_site_type_symbol
_atom_site_fract_x
_atom_site_fract_y
_atom_site_fract_z
Cr1 Cr 0.000 0.000 0.000
Sb1 Sb 0.000 0.000 0.500
Os1 Os 0.500 0.500 0.213
Os2 Os 0.500 0.500 0.787
# ΔE_f (raw)   0.790 eV per atom
# Space-group type   Cmmm, No. 65
# Density of states at the Fermi level   1.16 states/eV per atom
# M_tot   0.89 μB per formula unit
# Raw total energy   -33.04 eV for the cell shown
# Crystal system   orthorhombic

***

# CrSbOs2, optimized geometry, DFT PBE
data_CrSbOs2
_chemical_formula_sum 'Cr1 Sb1 Os2'
_space_group_name_H-M_alt 'P 1'
_space_group_IT_number 1
_cell_length_a 5.262
_cell_length_b 5.262
_cell_length_c 5.262
_cell_angle_alpha 146.46
_cell_angle_beta 129.15
_cell_angle_gamma 62.30
loop_
_space_group_symop_operation_xyz
'x,y,z'
loop_
_atom_site_label
_atom_site_type_symbol
_atom_site_fract_x
_atom_site_fract_y
_atom_site_fract_z
Cr1 Cr 0.000 0.000 0.000
Sb1 Sb 0.500 0.500 0.000
Os1 Os 0.264 0.764 0.500
Os2 Os 0.736 0.236 0.500
# ΔE_f (raw)   0.611 eV per atom
# Space-group type   Immm, No. 71
# Density of states at the Fermi level   1.12 states/eV per atom
# M_tot   0.85 μB per formula unit
# Raw total energy   -33.76 eV for the cell shown
# Crystal system   orthorhombic

***

# CrSb2TeOs, optimized geometry, DFT PBE
data_CrSb2TeOs
_chemical_formula_sum 'Cr1 Sb2 Te1 Os1'
_space_group_name_H-M_alt 'P 1'
_space_group_IT_number 1
_cell_length_a 4.925
_cell_length_b 4.925
_cell_length_c 4.960
_cell_angle_alpha 90.00
_cell_angle_beta 90.00
_cell_angle_gamma 90.00
loop_
_space_group_symop_operation_xyz
'x,y,z'
loop_
_atom_site_label
_atom_site_type_symbol
_atom_site_fract_x
_atom_site_fract_y
_atom_site_fract_z
Cr1 Cr 0.000 0.000 0.000
Sb1 Sb 0.000 0.500 0.000
Sb2 Sb 0.500 0.000 0.000
Te1 Te 0.000 0.000 0.500
Os1 Os 0.500 0.500 0.500
# ΔE_f (raw)   1.331 eV per atom
# Space-group type   P4/mmm, No. 123
# Density of states at the Fermi level   1.20 states/eV per atom
# M_tot   2.56 μB per formula unit
# Raw total energy   -25.59 eV for the cell shown
# Crystal system   tetragonal

***

# CrSbTe2Os, optimized geometry, DFT PBE
data_CrSbTe2Os
_chemical_formula_sum 'Cr1 Sb1 Te2 Os1'
_space_group_name_H-M_alt 'P 1'
_space_group_IT_number 1
_cell_length_a 5.399
_cell_length_b 5.399
_cell_length_c 4.972
_cell_angle_alpha 90.00
_cell_angle_beta 90.00
_cell_angle_gamma 90.00
loop_
_space_group_symop_operation_xyz
'x,y,z'
loop_
_atom_site_label
_atom_site_type_symbol
_atom_site_fract_x
_atom_site_fract_y
_atom_site_fract_z
Cr1 Cr 0.000 0.000 0.000
Sb1 Sb 0.500 0.500 0.000
Te1 Te 0.000 0.500 0.500
Te2 Te 0.500 0.000 0.500
Os1 Os 0.500 0.500 0.500
# ΔE_f (raw)   0.969 eV per atom
# Space-group type   P4/mmm, No. 123
# Density of states at the Fermi level   1.19 states/eV per atom
# M_tot   3.53 μB per formula unit
# Raw total energy   -26.42 eV for the cell shown
# Crystal system   tetragonal

***

# ScCr2Os, optimized geometry, DFT PBE
data_ScCr2Os
_chemical_formula_sum 'Sc1 Cr2 Os1'
_space_group_name_H-M_alt 'P 1'
_space_group_IT_number 1
_cell_length_a 2.827
_cell_length_b 4.092
_cell_length_c 5.292
_cell_angle_alpha 90.00
_cell_angle_beta 90.00
_cell_angle_gamma 90.00
loop_
_space_group_symop_operation_xyz
'x,y,z'
loop_
_atom_site_label
_atom_site_type_symbol
_atom_site_fract_x
_atom_site_fract_y
_atom_site_fract_z
Sc1 Sc 0.000 0.000 0.000
Cr1 Cr 0.500 0.500 0.309
Cr2 Cr 0.500 0.500 0.691
Os1 Os 0.000 0.000 0.500
# E_form   29 kJ/mol of atoms
# Space-group type   Pmmm, No. 47
# Density of states at the Fermi level   1.23 states/eV per atom
# M_tot   0.00 μB per formula unit
# Raw total energy   -35.62 eV for the cell shown
# Crystal system   orthorhombic

***

# ScCrOs2, optimized geometry, DFT PBE
data_ScCrOs2
_chemical_formula_sum 'Sc1 Cr1 Os2'
_space_group_name_H-M_alt 'P 1'
_space_group_IT_number 1
_cell_length_a 2.803
_cell_length_b 4.129
_cell_length_c 5.387
_cell_angle_alpha 90.00
_cell_angle_beta 104.11
_cell_angle_gamma 90.00
loop_
_space_group_symop_operation_xyz
'x,y,z'
loop_
_atom_site_label
_atom_site_type_symbol
_atom_site_fract_x
_atom_site_fract_y
_atom_site_fract_z
Sc1 Sc 0.000 0.000 0.000
Cr1 Cr 0.500 0.000 0.500
Os1 Os 0.326 0.500 0.723
Os2 Os 0.674 0.500 0.277
# E_form   6 kJ/mol of atoms
# Space-group type   P2/m, No. 10
# Density of states at the Fermi level   0.98 states/eV per atom
# M_tot   0.00 μB per formula unit
# Raw total energy   -38.16 eV for the cell shown
# Crystal system   monoclinic

***

Among the records above, which one has the highest density of states at the Fermi level? ScCr2Os